DFT (PBE+U) results for a relaxed VAgF4 crystal.

Results
Distance to the lowest polymorph of the same formula   129.5 meV/atom
Size of the total moment   2.0 μB per formula unit
D(E_F)   0.000 states/eV per cell
E_tot   -5.048 eV/atom

Cell lengths 6.5221, 6.5223, 6.5222 Å; angles 72.35, 72.35, 113.18 degrees
Each line ends with the local moment (μB).
Fractional positions:
F 0.7834 0.8398 0.9435  0.01
F 0.2732 0.7167 0.9435  0.01
F 0.7268 0.2833 0.0565  0.01
F 0.3399 0.2833 0.4435  0.01
F 0.7834 0.2268 0.5565  0.01
F 0.6601 0.7166 0.5565  0.01
F 0.2167 0.1602 0.0565  0.01
F 0.2166 0.7732 0.4435  0.01
Ag 0.8750 0.6250 0.2500  -0.01
Ag 0.1250 0.3750 0.7500  -0.01
V 0.3750 0.1250 0.2500  1.90
V 0.6250 0.8750 0.7500  1.90

---

DFT (PBE+U) results for a relaxed V3CrF crystal.

Results
Distance to the lowest polymorph of the same formula   715.9 meV/atom
Size of the total moment   6.4 μB per formula unit
D(E_F)   5.174 states/eV per cell
E_tot   -4.901 eV/atom

Cell lengths 4.8365, 4.8365, 4.8365 Å; angles 90.00, 90.00, 90.00 degrees
Each line ends with the local moment (μB).
Fractional positions:
V 0.0000 0.5000 0.0000  2.79
V 0.5000 0.0000 0.0000  2.79
V 0.0000 0.0000 0.5000  2.79
F 0.5000 0.5000 0.5000  0.05
Cr 0.0000 0.0000 0.0000  -3.50